1.
Computed, not measured: a crystal of TaAlMo2 relaxed with PBEsol at the SCAN level of DFT.

The space group is Imm2 (No. 44) and the conventional cell measures 3.229, 4.403 and 8.877 Å, with angles of 90.00, 90.00 and 90.00 degrees. The asymmetric unit holds Ta at (0.000, 0.000, 0.000), Al at (0.000, 0.500, 0.769), Mo at (0.000, 0.000, 0.526) and Mo at (0.000, 0.500, 0.255).

The value obtained for the density of states at the Fermi level is 2.05 states/eV/f.u. As for the total energy: -1.33123 hartree per atom.

2.
Computed, not measured: a crystal of BaLiHg2 relaxed with PBEsol at the SCAN level of DFT.

The space group is R-3m (No. 166, hexagonal axes) and the conventional cell measures 4.8557, 4.8557 and 16.7572 Å, with angles of 90.00, 90.00 and 120.00 degrees. The asymmetric unit holds Ba at (0.0000, 0.0000, 0.0000), Li at (0.0000, 0.0000, 0.5000) and Hg at (0.0000, 0.0000, 0.2029).

The value obtained for the density of states at the Fermi level is 2.28 states/eV/f.u. As for the total energy: -1.65838 hartree per atom.

3.
Computed, not measured: a crystal of Y2IrBr relaxed with PBEsol at the SCAN level of DFT.

The space group is Fm-3m (No. 225) and the conventional cell measures 7.009, 7.009 and 7.009 Å, with angles of 90.00, 90.00 and 90.00 degrees. The asymmetric unit holds Y at (0.250, 0.250, 0.250), Ir at (0.000, 0.000, 0.000) and Br at (0.000, 0.000, 0.500).

The value obtained for the density of states at the Fermi level is 3.71 states/eV/f.u. As for the total energy: -1.37097 hartree per atom. The formation energy (no corrections) is -745 meV/atom.

4.
Computed, not measured: a crystal of ZrAlSi relaxed with PBEsol at the SCAN level of DFT.

The space group is P-62m (No. 189) and the conventional cell measures 6.7724, 6.7724 and 3.7529 Å, with angles of 90.00, 90.00 and 120.00 degrees. The asymmetric unit holds Zr at (0.0000, 0.3927, 0.0000), Al at (0.0000, 0.7371, 0.5000), Si at (0.0000, 0.0000, 0.0000) and Si at (0.3333, 0.6667, 0.5000).

The value obtained for the density of states at the Fermi level is 1.67 states/eV/f.u. As for the total energy: -0.61522 hartree per atom. The formation energy (no corrections) is -585 meV/atom.

5.
Computed, not measured: a crystal of CoMoCl2 relaxed with PBEsol at the SCAN level of DFT.

The space group is I-42d (No. 122) and the conventional cell measures 5.120, 5.120 and 10.227 Å, with angles of 90.00, 90.00 and 90.00 degrees. The asymmetric unit holds Co at (0.000, 0.000, 0.000), Mo at (0.000, 0.000, 0.500) and Cl at (0.222, 0.250, 0.125).

The value obtained for the density of states at the Fermi level is 2.18 states/eV/f.u. As for the total energy: -0.60401 hartree per atom. The formation energy (no corrections) is 600 meV/atom.

6.
Computed, not measured: a crystal of TiCrWI2 relaxed with PBEsol at the SCAN level of DFT.

The space group is P4/mmm (No. 123) and the conventional cell measures 5.108, 5.108 and 4.574 Å, with angles of 90.00, 90.00 and 90.00 degrees. The asymmetric unit holds Ti at (0.000, 0.000, 0.000), Cr at (0.500, 0.500, 0.500), W at (0.500, 0.500, 0.000) and I at (0.000, 0.500, 0.500).

The value obtained for the density of states at the Fermi level is 3.58 states/eV/f.u. As for the total energy: -1.25325 hartree per atom. The formation energy (no corrections) is 1415 meV/atom.